A relaxed Zn2BiMo2 crystal, computed with PBE.

Magnetization (μB/f.u.): 0.000
Final energy (eV per atom): -5.12
Energy of formation from the pure elements (eV/atom): 0.4959

Unit cell a=8.104 b=8.104 c=2.870 alpha=90.00 beta=90.00 gamma=90.00
Space group P4/mbm (No. 127)
Symmetry-distinct sites (fractional):
Zn  0.179  0.321  0.000 [4 per cell]
Bi  0.000  0.000  0.000 [2 per cell]
Mo  0.107  0.607  0.500 [4 per cell]


A relaxed BaCd4Ag crystal, computed with PBE.

Excess energy over the best structure of this formula in the dataset (meV/atom): 268
Magnetization (μB/f.u.): 0.000
Final energy (eV per atom): -1.33
Energy of formation from the pure elements (eV/atom): 0.0801

Unit cell a=5.242 b=5.242 c=7.951 alpha=90.00 beta=90.00 gamma=90.00
Space group P4/mmm (No. 123)
Symmetry-distinct sites (fractional):
Ba  0.000  0.000  0.000 [1 per cell]
Cd  0.000  0.500  0.500 [2 per cell]
Cd  0.500  0.500  0.170 [2 per cell]
Ag  0.500  0.500  0.500 [1 per cell]


A relaxed CeMn5Ge7 crystal, computed with PBE.

Magnetization (μB/f.u.): 9.468
Final energy (eV per atom): -6.64
Energy of formation from the pure elements (eV/atom): -0.1747

Unit cell a=5.241 b=8.992 c=8.396 alpha=90.00 beta=90.00 gamma=90.00
Space group Imm2 (No. 44)
Symmetry-distinct sites (fractional):
Ce  0.000  0.000  0.000 [2 per cell]
Mn  0.000  0.500  0.248 [2 per cell]
Mn  0.246  0.261  0.747 [8 per cell]
Ge  0.000  0.000  0.356 [2 per cell]
Ge  0.000  0.000  0.659 [2 per cell]
Ge  0.000  0.316  0.484 [4 per cell]
Ge  0.000  0.333  0.010 [4 per cell]
Ge  0.000  0.500  0.731 [2 per cell]